Entry 1:
AsPRh: relaxed, GGA-PBE.

Formation energy, eV/atom: -0.57
E above lowest polymorph, meV per atom: 0.0

Geometry as POSCAR:
```
AsPRh
1.0
-2.9981 -0.1850 5.1874
3.9370 -3.9401 2.1348
1.5253 5.7679 1.0873
Rh As P
4 4 4
Direct
0.0032 0.7372 0.9511
0.5050 0.7198 0.4694
0.0050 0.2802 0.5306
0.5032 0.2628 0.0489
0.6246 0.1609 0.6167
0.6246 0.6645 0.0628
0.1246 0.3355 0.9372
0.1246 0.8391 0.3833
0.8717 0.6619 0.5669
0.3717 0.3381 0.4331
0.3746 0.8447 0.8780
0.8746 0.1553 0.1220
```

=====

Entry 2:
Y3As: relaxed, GGA-PBE.

Formation energy, eV/atom: -0.40
E above lowest polymorph, meV per atom: 221.9

Geometry as POSCAR:
```
Y3As
1.0
-1.7606 -3.5031 -0.1229
2.3429 -1.3107 3.7958
-4.3841 2.0832 3.4253
As Y
1 3
Direct
0.0000 0.0000 0.0050
0.5000 0.0000 0.4593
0.5000 0.5000 0.8835
0.0000 0.5000 0.3189
```